## NdDy2YEr5 (PBE)

Data for NdDy2YEr5 after structural relaxation.

DOS at the Fermi energy = 22.9 states/eV/cell
Electronic total energy = -81.3 eV per cell
Symmetry = No. 140

Unit cell a=8.9162 b=8.9162 c=9.6435 alpha=117.53 beta=117.53 gamma=90.00
With the nearest neighbours (Å) after each atom.
Atoms (fractional coordinates):
Nd: 0.2500 0.2500 0.5000  10 Er 3.64-3.65
Nd: 0.7500 0.7500 0.5000  10 Er 3.64-3.65
Dy: 0.1123 0.3877 0.0000  1 Dy 2.83, 2 Er 2.99
Dy: 0.6123 0.1123 0.0000  1 Dy 2.83, 2 Er 2.99
Dy: 0.3877 0.8877 0.0000  1 Dy 2.83, 2 Er 2.99
Dy: 0.8877 0.6123 0.0000  1 Dy 2.83, 2 Er 2.99
Y: 0.2500 0.7500 0.5000  4 Er 3.12
Y: 0.7500 0.2500 0.5000  4 Er 3.12
Er: 0.9256 0.4256 0.2628  1 Dy 2.99, 1 Y 3.12
Er: 0.6628 0.1628 0.7372  1 Dy 2.99, 1 Y 3.12
Er: 0.0744 0.5744 0.7372  1 Dy 2.99, 1 Y 3.12
Er: 0.1628 0.0744 0.7372  1 Dy 2.99, 1 Y 3.12
Er: 0.5744 0.6628 0.7372  1 Dy 2.99, 1 Y 3.12
Er: 0.8372 0.9256 0.2628  1 Dy 2.99, 1 Y 3.12
Er: 0.4256 0.3372 0.2628  1 Dy 2.99, 1 Y 3.12
Er: 0.3372 0.8372 0.2628  1 Dy 2.99, 1 Y 3.12
Er: 0.5000 0.5000 0.0000  4 Dy 3.60, 2 Nd 3.65, 8 Er 3.73
Er: 0.0000 0.0000 0.0000  4 Dy 3.60, 2 Nd 3.65, 8 Er 3.73

## Ge2AsPRu (PBE)

Data for Ge2AsPRu after structural relaxation.

DOS at the Fermi energy = 5.2 states/eV/cell
Electronic total energy = -23.2 eV per cell
Symmetry = No. 123

Unit cell a=4.6193 b=4.6193 c=4.6003 alpha=90.00 beta=90.00 gamma=90.00
With the nearest neighbours (Å) after each atom.
Atoms (fractional coordinates):
Ru: 0.5000 0.5000 0.5000  8 Ge 3.26, 4 As 3.27
As: 0.0000 0.0000 0.5000  2 P 2.30
Ge: 0.0000 0.5000 0.0000  2 P 2.31
Ge: 0.5000 0.0000 0.0000  2 P 2.31
P: 0.0000 0.0000 0.0000  2 As 2.30, 4 Ge 2.31

## Pr3Cu8Ni (PBE)

Data for Pr3Cu8Ni after structural relaxation.

DOS at the Fermi energy = 10.8 states/eV/cell
Electronic total energy = -53.6 eV per cell
Symmetry = No. 160

Unit cell a=5.1974 b=5.1974 c=9.1896 alpha=73.57 beta=73.57 gamma=60.00
With the nearest neighbours (Å) after each atom.
Atoms (fractional coordinates):
Pr: 0.3813 0.3813 0.8562  12 Cu 3.04-3.27, 4 Pr 3.35-3.39
Pr: 0.9871 0.9871 0.0388  9 Cu 2.93-3.12, 1 Ni 3.21
Pr: 0.5097 0.5097 0.4709  12 Cu 2.86-3.14, 3 Ni 3.05
Cu: 0.9456 0.4305 0.1935  6 Cu 2.52-2.69
Cu: 0.4464 0.9398 0.6739  6 Cu 2.56-2.74, 1 Ni 2.74
Cu: 0.4305 0.4305 0.1935  6 Cu 2.52-2.69
Cu: 0.9398 0.9398 0.6739  6 Cu 2.56-2.74, 1 Ni 2.74
Cu: 0.1888 0.1888 0.4335  6 Cu 2.54-2.58
Cu: 0.6868 0.6868 0.9395  6 Cu 2.69-2.74
Cu: 0.4305 0.9456 0.1935  6 Cu 2.52-2.69
Cu: 0.9398 0.4464 0.6739  6 Cu 2.56-2.74, 1 Ni 2.74
Ni: 0.8637 0.8637 0.4088  6 Cu 2.74-3.01, 3 Pr 3.05

Q: Look up the electronic total energy of the second one.
A: -23.2 eV per cell

Q: What is the electronic total energy in the second record?
A: -23.2 eV per cell

Q: Among the records above, which one has the lowest electronic total energy?
A: NdDy2YEr5